[1]
KPuCd4: optimized geometry, GGA-PBE.

Calculated values
The calculation puts the total energy at -18.8 eV for the cell shown. As for the mass density: 7.40 g cm⁻³. The calculation puts the energy of formation from the pure elements at 0.054 eV per atom.

Unit cell a=6.1488 b=6.1488 c=6.1488 alpha=60.00 beta=60.00 gamma=60.00
With the nearest neighbours (Å) after each atom.
Fractional coordinates of all 6 atoms:
K  0.0000  0.0000  0.0000  12 Cd 3.61, 4 Pu 3.77
Pu  0.7500  0.7500  0.7500  12 Cd 3.60, 4 K 3.77
Cd  0.3752  0.3752  0.3752  6 Cd 3.07-3.08
Cd  0.3752  0.3752  0.8745  6 Cd 3.07-3.08
Cd  0.3752  0.8745  0.3752  6 Cd 3.07-3.08
Cd  0.8745  0.3752  0.3752  6 Cd 3.07-3.08

---

[2]
BaTlI2N: optimized geometry, GGA-PBE.

Calculated values
The calculation puts the total energy at -16.4 eV for the cell shown. As for the mass density: 4.17 g cm⁻³. Its uncorrected formation energy is -0.141 eV per atom. The value obtained for the energy above the lowest structure with this stoichiometry is 0.000 eV per atom.

Unit cell a=6.8329 b=6.8329 c=5.1975 alpha=90.00 beta=90.00 gamma=90.00
With the nearest neighbours (Å) after each atom.
Fractional coordinates of all 5 atoms:
Ba  0.0000  0.0000  0.0000  2 N 2.60
Tl  0.5000  0.5000  0.5000  8 I 4.29
I  0.0000  0.5000  0.0000  2 Ba 3.42
I  0.5000  0.0000  0.0000  2 Ba 3.42
N  0.0000  0.0000  0.5000  2 Ba 2.60

---

[3]
BaMgScTl: optimized geometry, GGA-PBE.

Calculated values
The calculation puts the total energy at -12.4 eV for the cell shown. As for the mass density: 5.52 g cm⁻³. The calculation puts the energy of formation from the pure elements at -0.037 eV per atom.

Unit cell a=5.5918 b=5.5918 c=5.5918 alpha=60.00 beta=60.00 gamma=60.00
With the nearest neighbours (Å) after each atom.
Fractional coordinates of all 4 atoms:
Ba  0.0000  0.0000  0.0000  4 Mg 3.42, 4 Tl 3.42
Mg  0.7500  0.7500  0.7500  4 Sc 3.42, 4 Ba 3.42
Sc  0.5000  0.5000  0.5000  4 Mg 3.42, 4 Tl 3.42
Tl  0.2500  0.2500  0.2500  4 Sc 3.42, 4 Ba 3.42

---

[4]
Ga2HgB4: optimized geometry, GGA-PBE.

Calculated values
The calculation puts the total energy at -20.0 eV for the cell shown. As for the mass density: 5.56 g cm⁻³. The calculation puts the energy of formation from the pure elements at 1.870 eV per atom.

Unit cell a=6.2911 b=6.2911 c=6.2911 alpha=136.98 beta=136.98 gamma=62.47
With the nearest neighbours (Å) after each atom.
Fractional coordinates of all 7 atoms:
Ga  0.1121  0.1121  0.0000  1 B 2.01
Ga  0.8879  0.8879  0.0000  1 B 2.01
Hg  0.5000  0.5000  0.0000  6 B 2.16-2.31
B  0.0000  0.5000  0.5000  2 Hg 2.31
B  0.2988  0.2988  0.0000  1 Ga 2.01, 1 Hg 2.16
B  0.5000  0.0000  0.5000  2 Hg 2.31
B  0.7012  0.7012  0.0000  1 Ga 2.01, 1 Hg 2.16

---

[5]
V2HgMo: optimized geometry, GGA-PBE.

Calculated values
The calculation puts the total energy at -28.9 eV for the cell shown. As for the mass density: 10.40 g cm⁻³. The calculation puts the energy of formation from the pure elements at 0.126 eV per atom.

Unit cell a=3.1798 b=3.1798 c=6.2927 alpha=90.00 beta=90.00 gamma=90.00
With the nearest neighbours (Å) after each atom.
Fractional coordinates of all 4 atoms:
V  0.0000  0.0000  0.2155  4 Mo 2.63, 1 V 2.71, 4 Hg 2.87
V  0.0000  0.0000  0.7845  4 Mo 2.63, 1 V 2.71, 4 Hg 2.87
Hg  0.5000  0.5000  0.5000  8 V 2.87, 2 Mo 3.15, 4 Hg 3.18
Mo  0.5000  0.5000  0.0000  8 V 2.63

---

[6]
Mg3BiC4O12: optimized geometry, GGA-PBE.

Calculated values
The calculation puts the total energy at -139.8 eV for the cell shown. As for the mass density: 3.93 g cm⁻³. Its uncorrected formation energy is -1.739 eV per atom.

Unit cell a=6.2133 b=6.2133 c=6.2133 alpha=102.22 beta=102.22 gamma=102.22
With the nearest neighbours (Å) after each atom.
Fractional coordinates of all 20 atoms:
Mg  0.0000  0.5455  0.4545  6 O 2.06-2.16
Mg  0.4545  0.0000  0.5455  6 O 2.06-2.16
Mg  0.5455  0.4545  0.0000  6 O 2.06-2.16
Bi  0.0000  0.0000  0.0000  6 O 2.55
C  0.0427  0.5000  0.9573  3 O 1.29-1.30
C  0.5000  0.5000  0.5000  3 O 1.30
C  0.5000  0.9573  0.0427  3 O 1.29-1.30
C  0.9573  0.0427  0.5000  3 O 1.29-1.30
O  0.0139  0.6032  0.7973  1 C 1.29
O  0.0921  0.9079  0.5000  1 C 1.30
O  0.2027  0.3968  0.9861  1 C 1.29
O  0.3654  0.6346  0.5000  1 C 1.30
O  0.3968  0.9861  0.2027  1 C 1.29
O  0.5000  0.0921  0.9079  1 C 1.30
O  0.5000  0.3654  0.6346  1 C 1.30
O  0.6032  0.7973  0.0139  1 C 1.29
O  0.6346  0.5000  0.3654  1 C 1.30
O  0.7973  0.0139  0.6032  1 C 1.29
O  0.9079  0.5000  0.0921  1 C 1.30
O  0.9861  0.2027  0.3968  1 C 1.29

---

[7]
Ga2OsO2: optimized geometry, GGA-PBE.

Calculated values
The calculation puts the total energy at -56.3 eV for the cell shown. As for the mass density: 9.21 g cm⁻³. Its uncorrected formation energy is -0.194 eV per atom. The value obtained for the energy above the lowest structure with this stoichiometry is 0.000 eV per atom.

Unit cell a=6.2182 b=6.2182 c=3.3725 alpha=90.00 beta=90.00 gamma=90.00
With the nearest neighbours (Å) after each atom.
Fractional coordinates of all 10 atoms:
Ga  0.1387  0.3613  0.0000  2 O 1.94
Ga  0.3613  0.8613  0.0000  2 O 1.94
Ga  0.6387  0.1387  0.0000  2 O 1.94
Ga  0.8613  0.6387  0.0000  2 O 1.94
Os  0.0000  0.0000  0.5000  4 O 2.20
Os  0.5000  0.5000  0.5000  4 O 2.20
O  0.2488  0.2512  0.5000  2 Ga 1.94
O  0.2512  0.7512  0.5000  2 Ga 1.94
O  0.7488  0.2488  0.5000  2 Ga 1.94
O  0.7512  0.7488  0.5000  2 Ga 1.94

---

[8]
AcTmPu: optimized geometry, GGA-PBE.

Calculated values
The calculation puts the total energy at -21.9 eV for the cell shown. As for the mass density: 10.47 g cm⁻³. The calculation puts the energy of formation from the pure elements at 0.321 eV per atom. The value obtained for the energy above the lowest structure with this stoichiometry is 0.138 eV per atom.

Unit cell a=5.8370 b=5.8370 c=3.4381 alpha=90.00 beta=90.00 gamma=120.00
With the nearest neighbours (Å) after each atom.
Fractional coordinates of all 3 atoms:
Ac  0.0000  0.0000  0.0000  3 Tm 3.37, 2 Ac 3.44
Tm  0.3333  0.6667  0.0021  3 Ac 3.37, 2 Tm 3.44
Pu  0.6667  0.3333  0.5007  2 Pu 3.44, 6 Tm 3.78-3.79, 6 Ac 3.78